Crystalline Tb3Y4TmS8 at its relaxed geometry. Source: Alexandria, functional PBE.

calculated volume	1017	Å³ per cell
E_form (uncorrected)	-1.99	eV/atom

a = 7.8272 Å, b = 7.8272 Å, c = 19.1695 Å
α = 90.00°, β = 90.00°, γ = 120.00°
Space group R-3m (No. 166, hexagonal axes)
Symmetry-distinct sites (fractional):
Tb 0.0000 0.5000 0.0000
Y 0.0000 0.0000 0.5000
Y 0.0000 0.5000 0.5000
Tm 0.0000 0.0000 0.0000
S 0.0000 0.0000 0.2497
S 0.0042 0.5021 0.7493